No. 1
A geometry-optimized SmTmTlAg structure. Source: Alexandria, functional GGA-PBE.

E_form: -0.324 eV/atom
relative energy among the computed polymorphs: 9 meV/atom

a = 7.477 Å, b = 7.477 Å, c = 7.477 Å
α = 90.00°, β = 90.00°, γ = 90.00°
Space group F-43m (No. 216)
One atom of each set of equivalent atoms:
Sm  0.000  0.000  0.000 (multiplicity 4)
Tm  0.000  0.000  0.500 (multiplicity 4)
Tl  0.250  0.250  0.250 (multiplicity 4)
Ag  0.250  0.250  0.750 (multiplicity 4)


No. 2
A geometry-optimized SmTm2Tl2Ag2 structure. Source: Alexandria, functional GGA-PBE.

E_form: -0.171 eV/atom

a = 4.8991 Å, b = 4.8991 Å, c = 25.8341 Å
α = 90.00°, β = 90.00°, γ = 120.00°
Space group R-3m (No. 166, hexagonal axes)
One atom of each set of equivalent atoms:
Sm  0.0000  0.0000  0.0000 (multiplicity 3)
Tm  0.0000  0.0000  0.1333 (multiplicity 6)
Tl  0.0000  0.0000  0.2637 (multiplicity 6)
Ag  0.0000  0.0000  0.4385 (multiplicity 6)


No. 3
A geometry-optimized SmYTlAg structure. Source: Alexandria, functional GGA-PBE.

E_form: -0.347 eV/atom

a = 7.528 Å, b = 7.528 Å, c = 7.528 Å
α = 90.00°, β = 90.00°, γ = 90.00°
Space group F-43m (No. 216)
One atom of each set of equivalent atoms:
Sm  0.000  0.000  0.000 (multiplicity 4)
Y  0.000  0.000  0.500 (multiplicity 4)
Tl  0.250  0.250  0.250 (multiplicity 4)
Ag  0.250  0.250  0.750 (multiplicity 4)


No. 4
A geometry-optimized SmY2Tl2Ag2 structure. Source: Alexandria, functional GGA-PBE.

E_form: -0.191 eV/atom

a = 4.9003 Å, b = 4.9003 Å, c = 27.1429 Å
α = 90.00°, β = 90.00°, γ = 120.00°
Space group R-3m (No. 166, hexagonal axes)
One atom of each set of equivalent atoms:
Sm  0.0000  0.0000  0.0000 (multiplicity 3)
Y  0.0000  0.0000  0.1254 (multiplicity 6)
Tl  0.0000  0.0000  0.2573 (multiplicity 6)
Ag  0.0000  0.0000  0.3987 (multiplicity 6)


No. 5
A geometry-optimized Sm2YTl2Ag2 structure. Source: Alexandria, functional GGA-PBE.

E_form: -0.188 eV/atom

a = 4.8944 Å, b = 4.8944 Å, c = 27.3824 Å
α = 90.00°, β = 90.00°, γ = 120.00°
Space group R-3m (No. 166, hexagonal axes)
One atom of each set of equivalent atoms:
Sm  0.0000  0.0000  0.1247 (multiplicity 6)
Y  0.0000  0.0000  0.0000 (multiplicity 3)
Tl  0.0000  0.0000  0.2609 (multiplicity 6)
Ag  0.0000  0.0000  0.3916 (multiplicity 6)


No. 6
A geometry-optimized SmTlZnAg structure. Source: Alexandria, functional GGA-PBE.

E_form: -0.228 eV/atom

a = 7.108 Å, b = 7.108 Å, c = 7.108 Å
α = 90.00°, β = 90.00°, γ = 90.00°
Space group F-43m (No. 216)
One atom of each set of equivalent atoms:
Sm  0.000  0.000  0.000 (multiplicity 4)
Tl  0.000  0.000  0.500 (multiplicity 4)
Zn  0.250  0.250  0.750 (multiplicity 4)
Ag  0.250  0.250  0.250 (multiplicity 4)


No. 7
A geometry-optimized SmZrTlAg structure. Source: Alexandria, functional GGA-PBE.

E_form: -0.106 eV/atom

a = 7.316 Å, b = 7.316 Å, c = 7.316 Å
α = 90.00°, β = 90.00°, γ = 90.00°
Space group F-43m (No. 216)
One atom of each set of equivalent atoms:
Sm  0.000  0.000  0.000 (multiplicity 4)
Zr  0.000  0.000  0.500 (multiplicity 4)
Tl  0.250  0.250  0.750 (multiplicity 4)
Ag  0.250  0.250  0.250 (multiplicity 4)


No. 8
A geometry-optimized SmTmAg structure. Source: Alexandria, functional GGA-PBE.

E_form: -0.130 eV/atom
relative energy among the computed polymorphs: 52 meV/atom

a = 4.766 Å, b = 4.766 Å, c = 7.462 Å
α = 90.00°, β = 90.00°, γ = 90.00°
Space group P4/nmm (No. 129, origin choice 2)
One atom of each set of equivalent atoms:
Sm  0.250  0.250  0.129 (multiplicity 2)
Tm  0.250  0.750  0.500 (multiplicity 2)
Ag  0.250  0.250  0.739 (multiplicity 2)